1.
A geometry-optimized UCo2Ge structure, computed with PBE.

The formation energy comes out at -13.5 kJ/mol of atoms. The total energy is -30.679 eV per cell. Its density of states at the Fermi level is 1.292 states/eV/atom. The space group is No. 123. As for the volume: 14.1 Å³/atom.

a b c (Å): 2.949 2.949 6.493
angles (deg): 90.00 90.00 90.00
Fractional positions:
U: 0.000 0.000 0.000
Co: 0.500 0.500 0.289
Co: 0.500 0.500 0.711
Ge: 0.000 0.000 0.500

---

2.
A geometry-optimized AlCrRh2 structure, computed with PBE.

The formation energy comes out at -42.6 kJ/mol of atoms. The total energy is -29.835 eV per cell. Its density of states at the Fermi level is 0.953 states/eV/atom. The space group is No. 8. As for the volume: 13.8 Å³/atom.

a b c (Å): 4.775 4.775 4.428
angles (deg): 105.64 105.64 34.75
Fractional positions:
Al: 0.000 0.000 0.000
Cr: 0.750 0.750 0.360
Rh: 0.259 0.259 0.868
Rh: 0.494 0.494 0.494

---

3.
A geometry-optimized CuBPt2N structure, computed with PBE.

The total energy is -20.549 eV per cell. Its density of states at the Fermi level is 1.009 states/eV/atom. The space group is No. 123. As for the volume: 15.4 Å³/atom.

a b c (Å): 4.641 4.641 3.579
angles (deg): 90.00 90.00 90.00
Fractional positions:
Cu: 0.000 0.000 0.000
B: 0.000 0.000 0.500
Pt: 0.000 0.500 0.000
Pt: 0.500 0.000 0.000
N: 0.500 0.500 0.500

---

4.
A geometry-optimized BiPd6Pb2 structure, computed with PBE.

The formation energy comes out at -15.7 kJ/mol of atoms. The total energy is -43.919 eV per cell. Its density of states at the Fermi level is 0.450 states/eV/atom. The space group is No. 71. As for the volume: 19.9 Å³/atom.

a b c (Å): 6.726 6.726 6.726
angles (deg): 139.99 108.36 85.36
Fractional positions:
Bi: 0.000 0.000 0.000
Pd: 0.129 0.832 0.296
Pd: 0.202 0.500 0.702
Pd: 0.464 0.168 0.296
Pd: 0.536 0.832 0.704
Pd: 0.798 0.500 0.298
Pd: 0.871 0.168 0.704
Pb: 0.335 0.335 0.000
Pb: 0.665 0.665 0.000

---

5.
A geometry-optimized CaCd2W structure, computed with PBE.

The formation energy comes out at 58.0 kJ/mol of atoms. The total energy is -14.381 eV per cell. Its density of states at the Fermi level is 0.723 states/eV/atom. The space group is No. 123. As for the volume: 21.2 Å³/atom.

a b c (Å): 4.660 4.660 3.898
angles (deg): 90.00 90.00 90.00
Fractional positions:
Ca: 0.000 0.000 0.000
Cd: 0.000 0.500 0.500
Cd: 0.500 0.000 0.500
W: 0.500 0.500 0.000

---

6.
A geometry-optimized TbTmThSc structure, computed with PBE.

The formation energy comes out at 9.4 kJ/mol of atoms. The total energy is -22.463 eV per cell. Its density of states at the Fermi level is 1.795 states/eV/atom. The space group is No. 216. As for the volume: 29.8 Å³/atom.

a b c (Å): 5.525 5.525 5.525
angles (deg): 60.00 60.00 60.00
Fractional positions:
Tb: 0.000 0.000 0.000
Tm: 0.250 0.250 0.250
Th: 0.500 0.500 0.500
Sc: 0.750 0.750 0.750

---

7.
A geometry-optimized TiAg3H structure, computed with PBE.

The total energy is -12.124 eV per cell. Its density of states at the Fermi level is 0.881 states/eV/atom. The space group is No. 221. As for the volume: 28.0 Å³/atom.

a b c (Å): 5.191 5.191 5.191
angles (deg): 90.00 90.00 90.00
Fractional positions:
Ti: 0.000 0.000 0.000
Ag: 0.000 0.000 0.500
Ag: 0.000 0.500 0.000
Ag: 0.500 0.000 0.000
H: 0.500 0.500 0.500

---

8.
A geometry-optimized Lu2GeS structure, computed with PBE.

The total energy is -21.239 eV per cell. The space group is No. 166. As for the volume: 31.5 Å³/atom.

a b c (Å): 8.070 8.070 8.070
angles (deg): 31.31 31.31 31.31
Fractional positions:
Lu: 0.106 0.106 0.106
Lu: 0.894 0.894 0.894
Ge: 0.500 0.500 0.500
S: 0.000 0.000 0.000